Entry 1:
VASP calculation (PBE-GGA) on a geometry-optimized Th6TlTe3Ru2 structure.

As for the space group: C2/m (12). The size of the total moment is 0.0 μB per cell. The crystal system is monoclinic. The calculation puts the raw formation energy at -0.7609 eV per atom.

a b c (Å): 9.9804 9.9804 9.1843
angles (deg): 106.72 106.72 24.76
Fractional coordinates of all 12 atoms:
Th (0.0229, 0.0229, 0.2615)
Th (0.3203, 0.3203, 0.4359)
Th (0.3299, 0.3299, 0.8687)
Th (0.6701, 0.6701, 0.1313)
Th (0.6797, 0.6797, 0.5641)
Th (0.9771, 0.9771, 0.7385)
Tl (0.5000, 0.5000, 0.0000)
Te (0.1576, 0.1576, 0.8400)
Te (0.5000, 0.5000, 0.5000)
Te (0.8424, 0.8424, 0.1600)
Ru (0.1713, 0.1713, 0.3433)
Ru (0.8287, 0.8287, 0.6567)

***

Entry 2:
VASP calculation (PBE-GGA) on a geometry-optimized TmThTeRu structure.

As for the space group: R3m (160). The size of the total moment is 0.0 μB per cell. The crystal system is trigonal. The calculation puts the raw formation energy at -0.8011 eV per atom.

a b c (Å): 7.7102 7.7102 7.7102
angles (deg): 31.22 31.22 31.22
Fractional coordinates of all 4 atoms:
Tm (0.0000, 0.0000, 0.0000)
Th (0.8008, 0.8008, 0.8008)
Te (0.2411, 0.2411, 0.2411)
Ru (0.4023, 0.4023, 0.4023)

***

Entry 3:
VASP calculation (PBE-GGA) on a geometry-optimized TiTe3Ru structure.

As for the space group: Pm-3m (221). The size of the total moment is 0.0 μB per cell. The crystal system is cubic. Its distance to the lowest polymorph of the same formula is 0 meV per atom. The calculation puts the raw formation energy at 0.6606 eV per atom.

a b c (Å): 5.1529 5.1529 5.1529
angles (deg): 90.00 90.00 90.00
Fractional coordinates of all 5 atoms:
Ti (0.0000, 0.0000, 0.0000)
Te (0.0000, 0.5000, 0.5000)
Te (0.5000, 0.0000, 0.5000)
Te (0.5000, 0.5000, 0.0000)
Ru (0.5000, 0.5000, 0.5000)